YU2Tl3Te6 | GGA-PBE | relaxed

Structure (POSCAR):
```
YU2Tl3Te6
1.0
7.676 -0.001 0.000
-3.837 6.648 0.000
-1.280 -2.216 8.282
Y U Tl Te
1 2 3 6
direct
0.000 0.000 0.000
0.333 0.667 0.000
0.667 0.333 0.000
0.167 0.833 0.500
0.833 0.167 0.500
0.500 0.500 0.500
0.928 0.596 0.785
0.740 0.740 0.216
0.072 0.404 0.215
0.596 0.928 0.785
0.260 0.260 0.784
0.404 0.072 0.215
```

Properties
Symmetry: C2/m (12)

***

U3Tl3ZnTe8 | GGA-PBE | relaxed

Structure (POSCAR):
```
U3Tl3ZnTe8
1.0
-5.583 5.796 3.324
0.171 -8.141 3.079
7.447 5.749 2.484
U Tl Zn Te
3 3 1 8
direct
0.500 0.000 0.500
0.500 0.500 0.500
0.000 0.500 0.500
0.000 0.000 0.000
0.000 0.500 0.000
0.500 0.500 0.000
0.000 0.000 0.500
0.261 0.522 0.283
0.739 0.478 0.717
0.770 0.540 0.296
0.230 0.460 0.704
0.770 0.026 0.296
0.230 0.974 0.704
0.256 0.026 0.296
0.744 0.974 0.704
```

Properties
Symmetry: R-3m (166)

***

Number 1: total moment 0.5001 μB per atom, formation energy without anion corrections -0.693 eV/atom. Number 2: total moment 0.4661 μB per atom, formation energy without anion corrections -0.460 eV/atom.